# LuZr2In | the Open Quantum Materials Database | GGA-PBE | optimized geometry
data_LuZr2In
_chemical_formula_sum 'Lu1 Zr2 In1'
_space_group_name_H-M_alt 'P 1'
_space_group_IT_number 1
_cell_length_a 5.1054
_cell_length_b 5.1054
_cell_length_c 5.1054
_cell_angle_alpha 60.00
_cell_angle_beta 60.00
_cell_angle_gamma 60.00
loop_
_space_group_symop_operation_xyz
'x,y,z'
loop_
_atom_site_label
_atom_site_type_symbol
_atom_site_fract_x
_atom_site_fract_y
_atom_site_fract_z
_atom_site_occupancy
In1 In 0.5000 0.5000 0.5000 1
Lu1 Lu 0.2500 0.2500 0.2500 1
Zr1 Zr 0.0000 0.0000 0.0000 1
Zr2 Zr 0.7500 0.7500 0.7500 1
# - Calculated total energy: -6.1324 eV per atom
# - Symmetry: F-43m (216)
# - Spin magnetization: 1.35 μB/f.u.
# - Calculated volume: 23.52 Å³ per atom

---

# Dy4Y2TmNi2Te2 | the Open Quantum Materials Database | GGA-PBE | optimized geometry
data_Dy4Y2TmNi2Te2
_chemical_formula_sum 'Dy4 Y2 Tm1 Ni2 Te2'
_space_group_name_H-M_alt 'P 1'
_space_group_IT_number 1
_cell_length_a 9.3641
_cell_length_b 9.3641
_cell_length_c 9.3641
_cell_angle_alpha 156.35
_cell_angle_beta 66.93
_cell_angle_gamma 118.41
loop_
_space_group_symop_operation_xyz
'x,y,z'
loop_
_atom_site_label
_atom_site_type_symbol
_atom_site_fract_x
_atom_site_fract_y
_atom_site_fract_z
_atom_site_occupancy
Dy1 Dy 0.0278 0.8954 0.1323 1
Dy2 Dy 0.1022 0.7485 0.3538 1
Dy3 Dy 0.3947 0.7485 0.6462 1
Dy4 Dy 0.7631 0.8954 0.8677 1
Ni1 Ni 0.6408 0.4025 0.2383 1
Ni2 Ni 0.1643 0.4025 0.7617 1
Te1 Te 0.1415 0.1415 0.0000 1
Te2 Te 0.7401 0.2401 0.5000 1
Tm1 Tm 0.4762 0.4762 0.0000 1
Y1 Y 0.4138 0.0978 0.3160 1
Y2 Y 0.7817 0.0978 0.6840 1
# - Calculated total energy: -5.5066 eV per atom
# - Symmetry: Imm2 (44)
# - Spin magnetization: 0.01 μB/f.u.
# - Calculated volume: 26.13 Å³ per atom
# - Relative energy among the computed polymorphs: 0.04 eV per formula unit

---

# ZrPt | the Open Quantum Materials Database | GGA-PBE | optimized geometry
data_ZrPt
_chemical_formula_sum 'Zr4 Pt4'
_space_group_name_H-M_alt 'P 1'
_space_group_IT_number 1
_cell_length_a 5.8318
_cell_length_b 5.8318
_cell_length_c 4.9817
_cell_angle_alpha 90.00
_cell_angle_beta 90.00
_cell_angle_gamma 120.00
loop_
_space_group_symop_operation_xyz
'x,y,z'
loop_
_atom_site_label
_atom_site_type_symbol
_atom_site_fract_x
_atom_site_fract_y
_atom_site_fract_z
_atom_site_occupancy
Pt1 Pt 0.0000 0.0000 0.0000 1
Pt2 Pt 0.3234 0.1617 0.5000 1
Pt3 Pt 0.8383 0.1617 0.5000 1
Pt4 Pt 0.8383 0.6766 0.5000 1
Zr1 Zr 0.5046 0.0092 0.0000 1
Zr2 Zr 0.5046 0.4954 0.0000 1
Zr3 Zr 0.9908 0.4954 0.0000 1
Zr4 Zr 0.3334 0.6667 0.5000 1
# - Calculated total energy: -7.7926 eV per atom
# - Symmetry: P-6m2 (187)
# - Spin magnetization: 0.01 μB/f.u.
# - Energy relative to the elements: -0.982 eV per formula unit
# - Calculated volume: 18.34 Å³ per atom

---

# TbPr6As2 | the Open Quantum Materials Database | GGA-PBE | optimized geometry
data_TbPr6As2
_chemical_formula_sum 'Tb1 Pr6 As2'
_space_group_name_H-M_alt 'P 1'
_space_group_IT_number 1
_cell_length_a 8.3867
_cell_length_b 8.3867
_cell_length_c 4.4994
_cell_angle_alpha 90.00
_cell_angle_beta 90.00
_cell_angle_gamma 120.00
loop_
_space_group_symop_operation_xyz
'x,y,z'
loop_
_atom_site_label
_atom_site_type_symbol
_atom_site_fract_x
_atom_site_fract_y
_atom_site_fract_z
_atom_site_occupancy
As1 As 0.6667 0.3333 0.5000 1
As2 As 0.3333 0.6667 0.5000 1
Pr1 Pr 0.5774 0.0000 0.0000 1
Pr2 Pr 0.4226 0.4226 0.0000 1
Pr3 Pr 0.0000 0.5774 0.0000 1
Pr4 Pr 0.2749 0.0000 0.5000 1
Pr5 Pr 0.0000 0.2749 0.5000 1
Pr6 Pr 0.7251 0.7251 0.5000 1
Tb1 Tb 0.0000 0.0000 0.0000 1
# - Calculated total energy: -5.2254 eV per atom
# - Symmetry: P-62m (189)
# - Spin magnetization: 0.01 μB/f.u.
# - Calculated volume: 30.45 Å³ per atom

---

# LaErBe | the Open Quantum Materials Database | GGA-PBE | optimized geometry
data_LaErBe
_chemical_formula_sum 'La1 Er1 Be1'
_space_group_name_H-M_alt 'P 1'
_space_group_IT_number 1
_cell_length_a 4.0693
_cell_length_b 4.0693
_cell_length_c 5.5105
_cell_angle_alpha 90.00
_cell_angle_beta 90.00
_cell_angle_gamma 90.00
loop_
_space_group_symop_operation_xyz
'x,y,z'
loop_
_atom_site_label
_atom_site_type_symbol
_atom_site_fract_x
_atom_site_fract_y
_atom_site_fract_z
_atom_site_occupancy
Be1 Be 0.0000 0.0000 0.0000 1
Er1 Er 0.0000 0.0000 0.5000 1
La1 La 0.5000 0.5000 0.0000 1
# - Calculated total energy: -3.9272 eV per atom
# - Symmetry: P4/mmm (123)
# - Spin magnetization: 1.65 μB/f.u.
# - Calculated volume: 30.42 Å³ per atom
# - Relative energy among the computed polymorphs: 0.00 eV per formula unit

---

# Li16Ta2N8O | the Open Quantum Materials Database | GGA-PBE | optimized geometry
data_Li16Ta2N8O
_chemical_formula_sum 'Li16 Ta2 N8 O1'
_space_group_name_H-M_alt 'P 1'
_space_group_IT_number 1
_cell_length_a 5.9495
_cell_length_b 5.9495
_cell_length_c 9.1106
_cell_angle_alpha 70.94
_cell_angle_beta 109.06
_cell_angle_gamma 120.00
loop_
_space_group_symop_operation_xyz
'x,y,z'
loop_
_atom_site_label
_atom_site_type_symbol
_atom_site_fract_x
_atom_site_fract_y
_atom_site_fract_z
_atom_site_occupancy
Li1 Li 0.6836 0.9414 0.0716 1
Li2 Li 0.3293 0.3164 0.0716 1
Li3 Li 0.0586 0.6707 0.0716 1
Li4 Li 0.0784 0.9216 0.2352 1
Li5 Li 0.4174 0.5826 0.2522 1
Li6 Li 0.8312 0.5790 0.4259 1
Li7 Li 0.4210 0.8263 0.4259 1
Li8 Li 0.1737 0.1688 0.4259 1
Li9 Li 0.8263 0.8312 0.5741 1
Li10 Li 0.5790 0.1737 0.5741 1
Li11 Li 0.1688 0.4210 0.5741 1
Li12 Li 0.5826 0.4174 0.7478 1
Li13 Li 0.9216 0.0784 0.7648 1
Li14 Li 0.9414 0.3293 0.9284 1
Li15 Li 0.6707 0.6836 0.9284 1
Li16 Li 0.3164 0.0586 0.9284 1
N1 N 0.6731 0.3269 0.0193 1
N2 N 0.7743 0.9112 0.3266 1
N3 N 0.4635 0.2257 0.3266 1
N4 N 0.0888 0.5365 0.3266 1
N5 N 0.9112 0.4635 0.6734 1
N6 N 0.5365 0.7743 0.6734 1
N7 N 0.2257 0.0888 0.6734 1
N8 N 0.3269 0.6731 0.9807 1
O1 O 0.0000 0.0000 0.0000 1
Ta1 Ta 0.7505 0.2495 0.2514 1
Ta2 Ta 0.2495 0.7505 0.7486 1
# - Calculated total energy: -5.5863 eV per atom
# - Symmetry: R-3 (148)
# - Spin magnetization: 0.01 μB/f.u.
# - Calculated volume: 9.58 Å³ per atom

---

# NbMo2 | the Open Quantum Materials Database | GGA-PBE | optimized geometry
data_NbMo2
_chemical_formula_sum 'Nb8 Mo16'
_space_group_name_H-M_alt 'P 1'
_space_group_IT_number 1
_cell_length_a 5.2799
_cell_length_b 5.2799
_cell_length_c 17.1731
_cell_angle_alpha 90.00
_cell_angle_beta 90.00
_cell_angle_gamma 120.00
loop_
_space_group_symop_operation_xyz
'x,y,z'
loop_
_atom_site_label
_atom_site_type_symbol
_atom_site_fract_x
_atom_site_fract_y
_atom_site_fract_z
_atom_site_occupancy
Mo1 Mo 0.5000 0.0000 0.0000 1
Mo2 Mo 0.0000 0.5000 0.0000 1
Mo3 Mo 0.5000 0.5000 0.0000 1
Mo4 Mo 0.3333 0.6667 0.1228 1
Mo5 Mo 0.1635 0.3271 0.2500 1
Mo6 Mo 0.1635 0.8365 0.2500 1
Mo7 Mo 0.6729 0.8365 0.2500 1
Mo8 Mo 0.3333 0.6667 0.3772 1
Mo9 Mo 0.5000 0.0000 0.5000 1
Mo10 Mo 0.0000 0.5000 0.5000 1
Mo11 Mo 0.5000 0.5000 0.5000 1
Mo12 Mo 0.6667 0.3333 0.6228 1
Mo13 Mo 0.3271 0.1635 0.7500 1
Mo14 Mo 0.8365 0.1635 0.7500 1
Mo15 Mo 0.8365 0.6729 0.7500 1
Mo16 Mo 0.6667 0.3333 0.8772 1
Nb1 Nb 0.0000 0.0000 0.0959 1
Nb2 Nb 0.6667 0.3333 0.1568 1
Nb3 Nb 0.6667 0.3333 0.3432 1
Nb4 Nb 0.0000 0.0000 0.4041 1
Nb5 Nb 0.0000 0.0000 0.5959 1
Nb6 Nb 0.3333 0.6667 0.6568 1
Nb7 Nb 0.3333 0.6667 0.8432 1
Nb8 Nb 0.0000 0.0000 0.9041 1
# - Calculated total energy: -10.4905 eV per atom
# - Symmetry: P6_3/mmc (194)
# - Spin magnetization: 0.00 μB/f.u.
# - Energy relative to the elements: 0.318 eV per formula unit
# - Calculated volume: 17.27 Å³ per atom

---

# ScAl2Mo2 | the Open Quantum Materials Database | GGA-PBE | optimized geometry
data_ScAl2Mo2
_chemical_formula_sum 'Sc1 Al2 Mo2'
_space_group_name_H-M_alt 'P 1'
_space_group_IT_number 1
_cell_length_a 3.7945
_cell_length_b 3.7945
_cell_length_c 6.7529
_cell_angle_alpha 106.32
_cell_angle_beta 106.32
_cell_angle_gamma 90.00
loop_
_space_group_symop_operation_xyz
'x,y,z'
loop_
_atom_site_label
_atom_site_type_symbol
_atom_site_fract_x
_atom_site_fract_y
_atom_site_fract_z
_atom_site_occupancy
Al1 Al 0.6000 0.6000 0.2000 1
Al2 Al 0.4000 0.4000 0.8000 1
Mo1 Mo 0.7500 0.2500 0.5000 1
Mo2 Mo 0.2500 0.7500 0.5000 1
Sc1 Sc 0.0000 0.0000 0.0000 1
# - Calculated total energy: -7.2317 eV per atom
# - Symmetry: I4/mmm (139)
# - Spin magnetization: 0.00 μB/f.u.
# - Calculated volume: 17.85 Å³ per atom
# - Relative energy among the computed polymorphs: 0.00 eV per formula unit